The following is a PBE calculation of a geometry-optimized Na2Sr2MgPb4 structure, from the Alexandria database.

Magnetization: 0.000 μB/atom
Uncorrected energy: -2.73 eV/atom
DFT formation energy: -239.5 meV per atom
D(E_F): 8.9 states/eV/cell

Structure (CIF):
```
data_Na2Sr2MgPb4
_chemical_formula_sum 'Na4 Sr4 Mg2 Pb8'
_cell_length_a 7.550
_cell_length_b 7.550
_cell_length_c 10.183
_cell_angle_alpha 90.00
_cell_angle_beta 90.00
_cell_angle_gamma 90.00
_symmetry_space_group_name_H-M 'I 4/m m m'
_symmetry_Int_Tables_number 139
_symmetry_space_group_name_Hall '-I 4 2'
loop_
_atom_site_label
_atom_site_type_symbol
_atom_site_fract_x
_atom_site_fract_y
_atom_site_fract_z
_atom_site_occupancy
Na1 Na 0.000 0.000 0.209 1
Sr1 Sr 0.000 0.500 0.250 1
Mg1 Mg 0.000 0.000 0.500 1
Pb1 Pb 0.228 0.228 0.000 1
```

---

The following is a PBE calculation of a geometry-optimized NaSrMgPb2 structure, from the Alexandria database.

Magnetization: 0.000 μB/atom
Uncorrected energy: -2.67 eV/atom
DFT formation energy: -263.4 meV per atom
D(E_F): 4.1 states/eV/cell

Structure (CIF):
```
data_NaSrMgPb2
_chemical_formula_sum 'Na2 Sr2 Mg2 Pb4'
_cell_length_a 4.857
_cell_length_b 4.857
_cell_length_c 13.491
_cell_angle_alpha 90.00
_cell_angle_beta 90.00
_cell_angle_gamma 90.00
_symmetry_space_group_name_H-M 'I -4 m 2'
_symmetry_Int_Tables_number 119
_symmetry_space_group_name_Hall 'I -4 -2'
loop_
_atom_site_label
_atom_site_type_symbol
_atom_site_fract_x
_atom_site_fract_y
_atom_site_fract_z
_atom_site_occupancy
Na1 Na 0.000 0.000 0.000 1
Sr1 Sr 0.000 0.500 0.750 1
Mg1 Mg 0.000 0.000 0.500 1
Pb1 Pb 0.000 0.500 0.139 1
```

---

The following is a PBE calculation of a geometry-optimized NaSrMg2Pb2 structure, from the Alexandria database.

Magnetization: 0.000 μB/atom
Uncorrected energy: -2.55 eV/atom
DFT formation energy: -282.7 meV per atom
D(E_F): 2.6 states/eV/cell

Structure (CIF):
```
data_NaSrMg2Pb2
_chemical_formula_sum 'Na1 Sr1 Mg2 Pb2'
_cell_length_a 5.0731
_cell_length_b 5.0731
_cell_length_c 7.7779
_cell_angle_alpha 90.00
_cell_angle_beta 90.00
_cell_angle_gamma 120.00
_symmetry_space_group_name_H-M 'P -3 m 1'
_symmetry_Int_Tables_number 164
_symmetry_space_group_name_Hall '-P 3 2"'
loop_
_atom_site_label
_atom_site_type_symbol
_atom_site_fract_x
_atom_site_fract_y
_atom_site_fract_z
_atom_site_occupancy
Na1 Na 0.0000 0.0000 0.0000 1
Sr1 Sr 0.0000 0.0000 0.5000 1
Mg1 Mg 0.3333 0.6667 0.1744 1
Pb1 Pb 0.3333 0.6667 0.7485 1
```

---

The following is a PBE calculation of a geometry-optimized Na2TbMgPb2 structure, from the Alexandria database.

Magnetization: 0.000 μB/atom
Uncorrected energy: -2.98 eV/atom
DFT formation energy: -265.5 meV per atom
D(E_F): 5.9 states/eV/cell

Structure (CIF):
```
data_Na2TbMgPb2
_chemical_formula_sum 'Na4 Tb2 Mg2 Pb4'
_cell_length_a 4.945
_cell_length_b 9.327
_cell_length_c 7.434
_cell_angle_alpha 90.00
_cell_angle_beta 90.00
_cell_angle_gamma 90.00
_symmetry_space_group_name_H-M 'P m c 21'
_symmetry_Int_Tables_number 26
loop_
_symmetry_equiv_pos_as_xyz
'x,y,z'
'-x,-y,z+1/2'
'-x,y,z'
'x,-y,z+1/2'
loop_
_atom_site_label
_atom_site_type_symbol
_atom_site_fract_x
_atom_site_fract_y
_atom_site_fract_z
_atom_site_occupancy
Na1 Na 0.000 0.061 0.000 1
Na2 Na 0.500 0.164 0.292 1
Tb1 Tb 0.500 0.469 0.960 1
Mg1 Mg 0.000 0.312 0.634 1
Pb1 Pb 0.000 0.380 0.230 1
Pb2 Pb 0.500 0.173 0.734 1
```

---

The following is a PBE calculation of a geometry-optimized NaTbMgPb structure, from the Alexandria database.

Magnetization: 0.000 μB/atom
Uncorrected energy: -2.98 eV/atom
DFT formation energy: -163.7 meV per atom
D(E_F): 5.4 states/eV/cell

Structure (CIF):
```
data_NaTbMgPb
_chemical_formula_sum 'Na4 Tb4 Mg4 Pb4'
_cell_length_a 7.596
_cell_length_b 7.596
_cell_length_c 7.596
_cell_angle_alpha 90.00
_cell_angle_beta 90.00
_cell_angle_gamma 90.00
_symmetry_space_group_name_H-M 'F -4 3 m'
_symmetry_Int_Tables_number 216
_symmetry_space_group_name_Hall 'F -4 2 3'
loop_
_atom_site_label
_atom_site_type_symbol
_atom_site_fract_x
_atom_site_fract_y
_atom_site_fract_z
_atom_site_occupancy
Na1 Na 0.000 0.000 0.000 1
Tb1 Tb 0.000 0.000 0.500 1
Mg1 Mg 0.250 0.250 0.250 1
Pb1 Pb 0.250 0.250 0.750 1
```

---

The following is a PBE calculation of a geometry-optimized Na2MgTiPb structure, from the Alexandria database.

Magnetization: 0.400 μB/atom
Uncorrected energy: -2.57 eV/atom
DFT formation energy: 592.6 meV per atom
D(E_F): 1.2 states/eV/cell

Structure (CIF):
```
data_Na2MgTiPb
_chemical_formula_sum 'Na2 Mg1 Ti1 Pb1'
_cell_length_a 5.692
_cell_length_b 5.692
_cell_length_c 5.480
_cell_angle_alpha 90.00
_cell_angle_beta 90.00
_cell_angle_gamma 90.00
_symmetry_space_group_name_H-M 'P 4/m m m'
_symmetry_Int_Tables_number 123
_symmetry_space_group_name_Hall '-P 4 2'
loop_
_atom_site_label
_atom_site_type_symbol
_atom_site_fract_x
_atom_site_fract_y
_atom_site_fract_z
_atom_site_occupancy
Na1 Na 0.000 0.500 0.000 1
Mg1 Mg 0.000 0.000 0.500 1
Ti1 Ti 0.500 0.500 0.500 1
Pb1 Pb 0.500 0.500 0.000 1
```

---

- Which formula does entry 3 have?
  NaSrMg2Pb2

---

- What is the uncorrected energy in the second record?
  -2.67 eV/atom